Entry 1:
Compound: Dy2Y4Ho
Source: Alexandria via LeMat-Bulk
Functional: PBE-GGA
Structure: relaxed

## Properties
SG: No. 12
Excess energy over the best structure of this formula in the dataset (eV/atom): 0.000
E_tot (eV/atom): -5.63
Formation energy from the elements (eV/atom): 0.034
Crystal system: monoclinic

Cell: 8.553 8.553 8.719 Å, 119.02 119.02 23.95°
Sites, in units of the cell vectors:
Dy 0.070 0.070 0.430
Dy 0.930 0.930 0.570
Y 0.296 0.296 0.707
Y 0.359 0.359 0.165
Y 0.641 0.641 0.835
Y 0.704 0.704 0.293
Ho 0.000 0.000 0.000

=====

Entry 2:
Compound: Dy4YHo
Source: Alexandria via LeMat-Bulk
Functional: PBE-GGA
Structure: relaxed

## Properties
SG: No. 15
Excess energy over the best structure of this formula in the dataset (eV/atom): 0.121
E_tot (eV/atom): -4.77
Formation energy from the elements (eV/atom): 0.141
Crystal system: monoclinic

Cell: 8.590 8.590 6.442 Å, 100.89 100.89 118.75°
Sites, in units of the cell vectors:
Dy 0.106 0.711 0.960
Dy 0.171 0.425 0.619
Dy 0.289 0.894 0.540
Dy 0.425 0.171 0.119
Dy 0.575 0.829 0.881
Dy 0.711 0.106 0.460
Dy 0.829 0.575 0.381
Dy 0.894 0.289 0.040
Y 0.416 0.584 0.250
Y 0.584 0.416 0.750
Ho 0.003 0.997 0.250
Ho 0.997 0.003 0.750

=====

Entry 3:
Compound: Dy3Y4Ho8
Source: Alexandria via LeMat-Bulk
Functional: PBE-GGA
Structure: relaxed

## Properties
SG: No. 12
Excess energy over the best structure of this formula in the dataset (eV/atom): 0.265
E_tot (eV/atom): -4.69
Formation energy from the elements (eV/atom): 0.400
Crystal system: monoclinic

Cell: 9.224 9.224 6.725 Å, 111.33 111.33 87.56°
Sites, in units of the cell vectors:
Dy 0.000 0.000 0.000
Dy 0.000 0.500 0.000
Dy 0.500 0.000 0.000
Y 0.000 0.500 0.500
Y 0.500 0.000 0.500
Y 0.500 0.500 0.000
Y 0.500 0.500 0.500
Ho 0.140 0.860 0.500
Ho 0.231 0.231 0.489
Ho 0.231 0.231 0.967
Ho 0.246 0.754 0.000
Ho 0.754 0.246 0.000
Ho 0.769 0.769 0.033
Ho 0.769 0.769 0.511
Ho 0.860 0.140 0.500